No. 1
# NaPmCdCu PBE relaxed
data_NaPmCdCu
_symmetry_space_group_name_H-M 'F -4 3 m'
_symmetry_Int_Tables_number 216
_symmetry_space_group_name_Hall 'F -4 2 3'
_cell_length_a 7.2404
_cell_length_b 7.2404
_cell_length_c 7.2404
_cell_angle_alpha 90.00
_cell_angle_beta 90.00
_cell_angle_gamma 90.00
loop_
_atom_site_label
_atom_site_type_symbol
_atom_site_fract_x
_atom_site_fract_y
_atom_site_fract_z
Na1 Na 0.0000 0.0000 0.0000
Pm1 Pm 0.0000 0.0000 0.5000
Cd1 Cd 0.2500 0.2500 0.2500
Cu1 Cu 0.2500 0.2500 0.7500
# calculated formation energy: 0.0 eV/f.u.



No. 2
# NaCdCuPt PBE relaxed
data_NaCdCuPt
_symmetry_space_group_name_H-M 'F -4 3 m'
_symmetry_Int_Tables_number 216
_symmetry_space_group_name_Hall 'F -4 2 3'
_cell_length_a 6.5122
_cell_length_b 6.5122
_cell_length_c 6.5122
_cell_angle_alpha 90.00
_cell_angle_beta 90.00
_cell_angle_gamma 90.00
loop_
_atom_site_label
_atom_site_type_symbol
_atom_site_fract_x
_atom_site_fract_y
_atom_site_fract_z
Na1 Na 0.0000 0.0000 0.0000
Cd1 Cd 0.2500 0.2500 0.7500
Cu1 Cu 0.2500 0.2500 0.2500
Pt1 Pt 0.0000 0.0000 0.5000
# calculated formation energy: -0.3 eV/f.u.



No. 3
# RbNa2CdCu PBE relaxed
data_RbNa2CdCu
_symmetry_space_group_name_H-M 'P 4/m m m'
_symmetry_Int_Tables_number 123
_symmetry_space_group_name_Hall '-P 4 2'
_cell_length_a 5.6821
_cell_length_b 5.6821
_cell_length_c 5.2541
_cell_angle_alpha 90.00
_cell_angle_beta 90.00
_cell_angle_gamma 90.00
loop_
_atom_site_label
_atom_site_type_symbol
_atom_site_fract_x
_atom_site_fract_y
_atom_site_fract_z
Rb1 Rb 0.0000 0.0000 0.0000
Na1 Na 0.0000 0.5000 0.5000
Cd1 Cd 0.5000 0.5000 0.0000
Cu1 Cu 0.5000 0.5000 0.5000
# calculated formation energy: 0.6 eV/f.u.



No. 4
# NaCdCu2Re PBE relaxed
data_NaCdCu2Re
_symmetry_space_group_name_H-M 'P 4/m m m'
_symmetry_Int_Tables_number 123
_symmetry_space_group_name_Hall '-P 4 2'
_cell_length_a 4.7812
_cell_length_b 4.7812
_cell_length_c 5.3988
_cell_angle_alpha 90.00
_cell_angle_beta 90.00
_cell_angle_gamma 90.00
loop_
_atom_site_label
_atom_site_type_symbol
_atom_site_fract_x
_atom_site_fract_y
_atom_site_fract_z
Na1 Na 0.0000 0.0000 0.0000
Cd1 Cd 0.5000 0.5000 0.0000
Cu1 Cu 0.0000 0.5000 0.5000
Re1 Re 0.0000 0.0000 0.5000
# calculated formation energy: 7.1 eV/f.u.



No. 5
# Na2CdCuSb2 PBE relaxed
data_Na2CdCuSb2
_symmetry_space_group_name_H-M 'I b a m'
_symmetry_Int_Tables_number 72
_symmetry_space_group_name_Hall '-I 2 2c'
_cell_length_a 6.2238
_cell_length_b 15.3701
_cell_length_c 6.3123
_cell_angle_alpha 90.00
_cell_angle_beta 90.00
_cell_angle_gamma 90.00
loop_
_atom_site_label
_atom_site_type_symbol
_atom_site_fract_x
_atom_site_fract_y
_atom_site_fract_z
Na1 Na 0.2246 0.1746 0.0000
Cd1 Cd 0.0000 0.0000 0.2500
Cu1 Cu 0.0000 0.5000 0.2500
Sb1 Sb 0.2150 0.3869 0.0000
# formation energy without anion corrections: -246 meV per atom



No. 6
# NaCdCuSn PBE relaxed
data_NaCdCuSn
_symmetry_space_group_name_H-M 'F -4 3 m'
_symmetry_Int_Tables_number 216
_symmetry_space_group_name_Hall 'F -4 2 3'
_cell_length_a 6.9471
_cell_length_b 6.9471
_cell_length_c 6.9471
_cell_angle_alpha 90.00
_cell_angle_beta 90.00
_cell_angle_gamma 90.00
loop_
_atom_site_label
_atom_site_type_symbol
_atom_site_fract_x
_atom_site_fract_y
_atom_site_fract_z
Na1 Na 0.0000 0.0000 0.0000
Cd1 Cd 0.2500 0.2500 0.2500
Cu1 Cu 0.2500 0.2500 0.7500
Sn1 Sn 0.0000 0.0000 0.5000
# calculated formation energy: 0.2 eV/f.u.



No. 7
# NaSr2CdCu PBE relaxed
data_NaSr2CdCu
_symmetry_space_group_name_H-M 'P 4/m m m'
_symmetry_Int_Tables_number 123
_symmetry_space_group_name_Hall '-P 4 2'
_cell_length_a 5.9878
_cell_length_b 5.9878
_cell_length_c 5.0892
_cell_angle_alpha 90.00
_cell_angle_beta 90.00
_cell_angle_gamma 90.00
loop_
_atom_site_label
_atom_site_type_symbol
_atom_site_fract_x
_atom_site_fract_y
_atom_site_fract_z
Na1 Na 0.0000 0.0000 0.0000
Sr1 Sr 0.0000 0.5000 0.5000
Cd1 Cd 0.5000 0.5000 0.0000
Cu1 Cu 0.5000 0.5000 0.5000
# calculated formation energy: -0.2 eV/f.u.



No. 8
# NaTl2CdCu PBE relaxed
data_NaTl2CdCu
_symmetry_space_group_name_H-M 'P 4/m m m'
_symmetry_Int_Tables_number 123
_symmetry_space_group_name_Hall '-P 4 2'
_cell_length_a 5.2716
_cell_length_b 5.2716
_cell_length_c 5.1491
_cell_angle_alpha 90.00
_cell_angle_beta 90.00
_cell_angle_gamma 90.00
loop_
_atom_site_label
_atom_site_type_symbol
_atom_site_fract_x
_atom_site_fract_y
_atom_site_fract_z
Na1 Na 0.0000 0.0000 0.0000
Tl1 Tl 0.0000 0.5000 0.5000
Cd1 Cd 0.5000 0.5000 0.0000
Cu1 Cu 0.5000 0.5000 0.5000
# calculated formation energy: 0.5 eV/f.u.



What did the seventh record say?
# NaSr2CdCu PBE relaxed
data_NaSr2CdCu
_symmetry_space_group_name_H-M 'P 4/m m m'
_symmetry_Int_Tables_number 123
_symmetry_space_group_name_Hall '-P 4 2'
_cell_length_a 5.9878
_cell_length_b 5.9878
_cell_length_c 5.0892
_cell_angle_alpha 90.00
_cell_angle_beta 90.00
_cell_angle_gamma 90.00
loop_
_atom_site_label
_atom_site_type_symbol
_atom_site_fract_x
_atom_site_fract_y
_atom_site_fract_z
Na1 Na 0.0000 0.0000 0.0000
Sr1 Sr 0.0000 0.5000 0.5000
Cd1 Cd 0.5000 0.5000 0.0000
Cu1 Cu 0.5000 0.5000 0.5000
# calculated formation energy: -0.2 eV/f.u.